TlGeRu2Rh after structural relaxation. Source: Alexandria via LeMat-Bulk, functional PBE-GGA.

Lattice parameters (Å, degrees): 5.002 5.002 4.955 90.00 90.00 90.00
Space group P4/mmm (No. 123)
One atom of each set of equivalent atoms:
Tl  0.000  0.000  0.000 x1
Ge  0.500  0.500  0.500 x1
Ru  0.000  0.500  0.000 x2
Rh  0.000  0.000  0.500 x1

Values from the calculation:
V ... 24.79 Å³/atom
Energy relative to the elements ... 2.0486 eV/atom
Uncorrected energy ... -22.6 eV per cell